ZrCrHg4 (PBEsol, optimized geometry); spin magnetization = 2.1 μB per formula unit; energy = -3.21 eV per atom
1.0
0.0000 3.9512 3.9512
3.9512 0.0000 3.9512
3.9512 3.9512 0.0000
Zr Cr Hg
1 1 4
Cartesian
0.0000 0.0000 0.0000
1.9756 1.9756 1.9756
4.9382 2.9642 2.9642
2.9642 4.9382 2.9642
2.9642 2.9642 4.9382
4.9382 4.9382 4.9382

=====

ZrCr2Hg (PBEsol, optimized geometry); spin magnetization = 5.5 μB per formula unit; energy = -7.10 eV per atom
1.0
0.0000 3.2096 3.2096
3.2096 0.0000 3.2096
3.2096 3.2096 0.0000
Zr Cr Hg
1 2 1
Cartesian
0.0000 0.0000 0.0000
1.6048 1.6048 1.6048
4.8144 4.8144 4.8144
3.2096 3.2096 3.2096

=====

HoMgCr2O6 (PBEsol, optimized geometry); uncorrected formation energy = -2531 meV/atom; spin magnetization = 5.0 μB per formula unit; energy = -8.40 eV per atom
1.0
7.3603 0.0000 0.0000
0.0000 5.3320 0.0000
0.0000 0.0000 5.0621
Ho Mg Cr O
2 2 4 12
Cartesian
0.0000 0.9586 0.0000
3.6801 4.3734 2.5310
0.0000 3.6699 2.7111
3.6801 1.6620 0.1801
1.8427 1.3690 2.6173
1.8375 3.9629 0.0863
5.5176 1.3690 2.6173
5.5228 3.9629 0.0863
0.0000 1.6164 2.0855
0.0000 4.1698 0.7195
1.3986 2.4120 4.1443
1.4126 5.0155 3.5531
2.2675 0.3165 1.0220
2.2815 2.9199 1.6133
3.6801 1.1621 3.2505
3.6801 3.7156 4.6165
5.0787 2.9199 1.6133
5.0927 0.3165 1.0220
5.9477 5.0155 3.5531
5.9617 2.4120 4.1443

=====

Ho2CrSbO7 (PBEsol, optimized geometry); uncorrected formation energy = -2640 meV/atom; spin magnetization = 3.0 μB per formula unit; energy = -8.23 eV per atom
1.0
-3.5639 3.6052 5.0408
3.5639 -3.6052 5.0408
3.5639 3.6052 -5.0408
Ho Cr Sb O
4 2 2 14
Cartesian
0.0000 0.0000 0.0000
-1.7820 1.8026 2.5204
0.0000 3.6052 0.0000
1.7820 1.8026 2.5204
1.7820 1.8026 -2.5204
1.7820 -1.8026 2.5204
3.5639 0.0000 0.0000
0.0000 0.0000 5.0408
2.0785 -0.2753 1.2778
5.0493 -0.2753 1.2778
3.5639 -1.8026 3.4137
2.0785 3.3300 -1.2778
1.4854 -0.2753 3.7630
3.5639 1.8026 0.8599
0.0000 1.8026 1.2793
3.5639 1.8026 3.7615
0.0000 1.8026 4.1809
2.0785 3.8805 1.2778
1.4854 0.2753 6.3185
0.0000 5.4078 1.6271
-1.4854 3.8805 3.7630
1.4854 3.8805 3.7630

=====

CrInI3 (PBEsol, optimized geometry); uncorrected formation energy = 392 meV/atom; spin magnetization = 5.2 μB per formula unit; energy = -3.31 eV per atom
1.0
5.8118 0.0000 0.0000
0.0000 5.8118 0.0000
0.0000 0.0000 5.8118
Cr In I
1 1 3
Cartesian
0.0000 0.0000 0.0000
2.9059 2.9059 2.9059
0.0000 2.9059 2.9059
2.9059 0.0000 2.9059
2.9059 2.9059 0.0000

=====

CrInIO2 (PBEsol, optimized geometry); uncorrected formation energy = -498 meV/atom; spin magnetization = 2.4 μB per formula unit; energy = -5.60 eV per atom
1.0
3.9782 0.0000 0.0000
0.0000 3.9782 0.0000
0.0000 0.0000 5.3428
Cr In I O
1 1 1 2
Cartesian
0.0000 0.0000 0.0000
1.9891 1.9891 2.6714
0.0000 0.0000 2.6714
0.0000 1.9891 0.0000
1.9891 0.0000 0.0000

=====

CrInIO2 (PBEsol, optimized geometry); uncorrected formation energy = -62 meV/atom; spin magnetization = 5.2 μB per formula unit; energy = -5.16 eV per atom
1.0
4.0580 0.0000 0.0000
0.0000 4.0580 0.0000
0.0000 0.0000 6.2314
Cr In I O
1 1 1 2
Cartesian
0.0000 0.0000 0.0000
2.0290 2.0290 3.1157
2.0290 2.0290 0.0000
0.0000 2.0290 3.1157
2.0290 0.0000 3.1157

=====

Cr3IrI (PBEsol, optimized geometry); uncorrected formation energy = 2254 meV/atom; spin magnetization = 10.3 μB per formula unit; energy = -6.21 eV per atom
1.0
4.7143 0.0000 0.0000
0.0000 4.7143 0.0000
0.0000 0.0000 4.7143
Cr Ir I
3 1 1
Cartesian
0.0000 0.0000 2.3572
0.0000 2.3572 0.0000
2.3572 0.0000 0.0000
2.3572 2.3572 2.3572
0.0000 0.0000 0.0000